Record 1
# RbGa2I2

A relaxed RbGa2I2 crystal (PBE, Alexandria).

Results
E: -13.00 eV per formula unit
volume: 351.2 Å³ per cell
polymorph energy (0 for the lowest one): 0.0 meV per atom
E_form (uncorrected): -0.58 eV/atom

Unit cell a=4.1850 b=4.1850 c=20.0500 alpha=90.00 beta=90.00 gamma=90.00
Last column: nearest neighbours and their distance in Å.
Fractional coordinates of all 10 atoms:
Rb 0.0000 0.0000 0.0000  8 I 3.72
Rb 0.5000 0.5000 0.5000  8 I 3.72
Ga 0.0000 0.5000 0.2500  4 Ga 2.96
Ga 0.0000 0.5000 0.7500  4 Ga 2.96
Ga 0.5000 0.0000 0.2500  4 Ga 2.96
Ga 0.5000 0.0000 0.7500  4 Ga 2.96
I 0.0000 0.0000 0.3873  4 Ga 3.46, 4 Rb 3.72
I 0.0000 0.0000 0.6127  4 Ga 3.46, 4 Rb 3.72
I 0.5000 0.5000 0.1127  4 Ga 3.46, 4 Rb 3.72
I 0.5000 0.5000 0.8873  4 Ga 3.46, 4 Rb 3.72



Record 2
# RbGa2I

A relaxed RbGa2I crystal (PBE, Alexandria).

Results
E: -9.70 eV per formula unit
volume: 609.0 Å³ per cell
polymorph energy (0 for the lowest one): 0.0 meV per atom
E_form (uncorrected): -0.28 eV/atom

Unit cell a=5.0014 b=5.0014 c=24.3468 alpha=90.00 beta=90.00 gamma=90.00
Last column: nearest neighbours and their distance in Å.
Fractional coordinates of all 16 atoms:
Rb 0.0000 0.0000 0.0000  4 I 3.54, 4 Ga 3.84
Rb 0.0000 0.5000 0.2500  4 I 3.54, 4 Ga 3.84
Rb 0.5000 0.0000 0.7500  4 I 3.54, 4 Ga 3.84
Rb 0.5000 0.5000 0.5000  4 I 3.54, 4 Ga 3.84
Ga 0.1035 0.2500 0.6250  2 Ga 2.71
Ga 0.2500 0.6035 0.8750  2 Ga 2.71
Ga 0.2500 0.8965 0.3750  2 Ga 2.71
Ga 0.3965 0.2500 0.1250  2 Ga 2.71
Ga 0.6035 0.7500 0.1250  2 Ga 2.71
Ga 0.7500 0.1035 0.3750  2 Ga 2.71
Ga 0.7500 0.3965 0.8750  2 Ga 2.71
Ga 0.8965 0.7500 0.6250  2 Ga 2.71
I 0.0000 0.0000 0.5000  4 Ga 3.33, 4 Rb 3.54
I 0.0000 0.5000 0.7500  4 Ga 3.33, 4 Rb 3.54
I 0.5000 0.0000 0.2500  4 Ga 3.33, 4 Rb 3.54
I 0.5000 0.5000 0.0000  4 Ga 3.33, 4 Rb 3.54



> The highest volume belongs to which entry?

RbGa2I



What did the first record say?
# RbGa2I2

A relaxed RbGa2I2 crystal (PBE, Alexandria).

Results
E: -13.00 eV per formula unit
volume: 351.2 Å³ per cell
polymorph energy (0 for the lowest one): 0.0 meV per atom
E_form (uncorrected): -0.58 eV/atom

Unit cell a=4.1850 b=4.1850 c=20.0500 alpha=90.00 beta=90.00 gamma=90.00
Last column: nearest neighbours and their distance in Å.
Fractional coordinates of all 10 atoms:
Rb 0.0000 0.0000 0.0000  8 I 3.72
Rb 0.5000 0.5000 0.5000  8 I 3.72
Ga 0.0000 0.5000 0.2500  4 Ga 2.96
Ga 0.0000 0.5000 0.7500  4 Ga 2.96
Ga 0.5000 0.0000 0.2500  4 Ga 2.96
Ga 0.5000 0.0000 0.7500  4 Ga 2.96
I 0.0000 0.0000 0.3873  4 Ga 3.46, 4 Rb 3.72
I 0.0000 0.0000 0.6127  4 Ga 3.46, 4 Rb 3.72
I 0.5000 0.5000 0.1127  4 Ga 3.46, 4 Rb 3.72
I 0.5000 0.5000 0.8873  4 Ga 3.46, 4 Rb 3.72



> Which formula does entry 2 have?

RbGa2I



> Which of these has the highest E?

RbGa2I